(1)
Density functional theory data (PBE) for crystalline K2Fe at its relaxed geometry.

- calculated total energy (eV/atom) = -2.86
- energy relative to the lowest polymorph listed for this composition (kJ/mol of formula units) = 11
- formation energy from the elements (eV/atom) = 0.696

abc: 16.9144 16.9144 4.3292
angles: 90.00 90.00 166.77
Atoms (fractional coordinates):
K 0.0724 0.9276 0.7500
K 0.1936 0.8064 0.2500
K 0.8064 0.1936 0.7500
K 0.9276 0.0724 0.2500
Fe 0.4892 0.5108 0.7500
Fe 0.5108 0.4892 0.2500


(2)
Density functional theory data (PBE) for crystalline KFe2 at its relaxed geometry.

- calculated total energy (eV/atom) = -5.22
- formation energy from the elements (eV/atom) = 0.785

abc: 6.5294 6.5294 6.5294
angles: 155.62 145.57 42.64
Atoms (fractional coordinates):
K 0.0000 0.0000 0.0000
Fe 0.2611 0.2611 0.0000
Fe 0.7389 0.7389 0.0000


(3)
Density functional theory data (PBE) for crystalline KFe at its relaxed geometry.

- calculated total energy (eV/atom) = -3.95
- energy relative to the lowest polymorph listed for this composition (kJ/mol of formula units) = 31
- formation energy from the elements (eV/atom) = 0.826

abc: 4.3573 4.3573 9.9498
angles: 94.71 94.71 40.73
Atoms (fractional coordinates):
K 0.0987 0.0987 0.2851
K 0.9013 0.9013 0.7149
Fe 0.3573 0.3573 0.0125
Fe 0.6427 0.6427 0.9875


(4)
Density functional theory data (PBE) for crystalline K3Fe4 at its relaxed geometry.

- calculated total energy (eV/atom) = -3.73
- formation energy from the elements (eV/atom) = 1.573

abc: 5.3439 5.3439 6.4675
angles: 90.00 90.00 120.00
Atoms (fractional coordinates):
K 0.0000 0.5000 0.0000
K 0.5000 0.0000 0.0000
K 0.5000 0.5000 0.0000
Fe 0.0000 0.0000 0.3392
Fe 0.0000 0.0000 0.6608
Fe 0.3333 0.6667 0.5000
Fe 0.6667 0.3333 0.5000


(5)
Density functional theory data (PBE) for crystalline K2Fe at its relaxed geometry.

- calculated total energy (eV/atom) = -2.47
- energy relative to the lowest polymorph listed for this composition (kJ/mol of formula units) = 123
- formation energy from the elements (eV/atom) = 1.083

abc: 6.1080 6.1080 3.3896
angles: 90.00 90.00 120.00
Atoms (fractional coordinates):
K 0.3333 0.6667 0.0000
K 0.6667 0.3333 0.0000
Fe 0.0000 0.0000 0.5000


(6)
Density functional theory data (PBE) for crystalline KLaFe2 at its relaxed geometry.

- calculated total energy (eV/atom) = -5.17
- energy relative to the lowest polymorph listed for this composition (kJ/mol of formula units) = 56
- formation energy from the elements (eV/atom) = 0.572

abc: 7.6446 7.6446 7.6446
angles: 153.70 144.74 44.52
Atoms (fractional coordinates):
K 0.0000 0.0000 0.0000
La 0.7309 0.2309 0.5000
Fe 0.2517 0.7517 0.5000
Fe 0.3575 0.3575 0.0000


(7)
Density functional theory data (PBE) for crystalline KLaFe2 at its relaxed geometry.

- calculated total energy (eV/atom) = -4.75
- energy relative to the lowest polymorph listed for this composition (kJ/mol of formula units) = 218
- formation energy from the elements (eV/atom) = 0.991

abc: 5.1598 5.1598 3.7329
angles: 90.00 90.00 94.11
Atoms (fractional coordinates):
K 0.0000 0.0000 0.0000
La 0.5000 0.5000 0.0000
Fe 0.0000 0.5000 0.5000
Fe 0.5000 0.0000 0.5000


(8)
Density functional theory data (PBE) for crystalline KLaFe2 at its relaxed geometry.

- calculated total energy (eV/atom) = -4.71
- energy relative to the lowest polymorph listed for this composition (kJ/mol of formula units) = 231
- formation energy from the elements (eV/atom) = 1.026

abc: 5.1866 5.1866 5.1866
angles: 60.00 60.00 60.00
Atoms (fractional coordinates):
K 0.0000 0.0000 0.0000
La 0.5000 0.5000 0.5000
Fe 0.2500 0.2500 0.2500
Fe 0.7500 0.7500 0.7500


(9)
Density functional theory data (PBE) for crystalline KLa4Fe at its relaxed geometry.

- calculated total energy (eV/atom) = -4.08
- formation energy from the elements (eV/atom) = 0.799

abc: 6.7451 6.7451 6.7451
angles: 60.00 60.00 60.00
Atoms (fractional coordinates):
K 0.0000 0.0000 0.0000
La 0.1433 0.6189 0.6189
La 0.6189 0.1433 0.6189
La 0.6189 0.6189 0.1433
La 0.6189 0.6189 0.6189
Fe 0.2500 0.2500 0.2500


(10)
Density functional theory data (PBE) for crystalline KLaFe2 at its relaxed geometry.

- calculated total energy (eV/atom) = -5.24
- energy relative to the lowest polymorph listed for this composition (kJ/mol of formula units) = 25
- formation energy from the elements (eV/atom) = 0.493

abc: 3.3817 3.3817 9.0969
angles: 90.00 90.00 90.00
Atoms (fractional coordinates):
K 0.0000 0.0000 0.0000
La 0.5000 0.5000 0.4244
Fe 0.0000 0.0000 0.6530
Fe 0.5000 0.5000 0.7035


(11)
Density functional theory data (PBE) for crystalline KLa2Fe2 at its relaxed geometry.

- calculated total energy (eV/atom) = -5.13
- energy relative to the lowest polymorph listed for this composition (kJ/mol of formula units) = 0
- formation energy from the elements (eV/atom) = 0.442

abc: 8.4706 8.4706 4.0900
angles: 90.00 90.00 90.00
Atoms (fractional coordinates):
K 0.0000 0.0000 0.0000
K 0.5000 0.5000 0.0000
La 0.1523 0.3477 0.5000
La 0.3477 0.8477 0.5000
La 0.6523 0.1523 0.5000
La 0.8477 0.6523 0.5000
Fe 0.0933 0.5933 0.0000
Fe 0.4067 0.0933 0.0000
Fe 0.5933 0.9067 0.0000
Fe 0.9067 0.4067 0.0000


(12)
Density functional theory data (PBE) for crystalline KLaFe2 at its relaxed geometry.

- calculated total energy (eV/atom) = -5.17
- energy relative to the lowest polymorph listed for this composition (kJ/mol of formula units) = 55
- formation energy from the elements (eV/atom) = 0.569

abc: 3.5639 7.4363 7.4363
angles: 35.73 90.00 90.00
Atoms (fractional coordinates):
K 0.0000 0.0000 0.0000
La 0.5000 0.2676 0.2676
Fe 0.0000 0.7394 0.7394
Fe 0.5000 0.6375 0.6375